1.
The following is a PBE-GGA calculation of a geometry-optimized CeRh6 structure, from Alexandria via LeMat-Bulk.

Cell: 8.5794 5.2292 10.3328 Å, 90.00 90.00 90.00°
With the nearest neighbours (Å) after each atom.
Positions (direct):
Ce 0.2422 0.2500 0.0581  9 Rh 2.92-3.24
Ce 0.2578 0.7500 0.5581  9 Rh 2.92-3.24
Ce 0.7422 0.2500 0.4419  9 Rh 2.92-3.24
Ce 0.7578 0.7500 0.9419  9 Rh 2.92-3.24
Rh 0.0577 0.0054 0.3022  9 Rh 2.56-2.74
Rh 0.0577 0.4946 0.3022  9 Rh 2.56-2.74
Rh 0.0591 0.7500 0.0757  5 Rh 2.62-2.88, 1 Ce 2.93
Rh 0.1123 0.2500 0.5197  7 Rh 2.63-2.88, 2 Ce 2.92
Rh 0.1630 0.7500 0.8358  8 Rh 2.63-2.74
Rh 0.1861 0.2500 0.7731  8 Rh 2.59-2.70
Rh 0.3139 0.7500 0.2731  8 Rh 2.59-2.70
Rh 0.3370 0.2500 0.3358  8 Rh 2.63-2.74
Rh 0.3877 0.7500 0.0197  7 Rh 2.63-2.88, 2 Ce 2.92
Rh 0.4409 0.2500 0.5757  5 Rh 2.62-2.88, 1 Ce 2.93
Rh 0.4423 0.5054 0.8022  9 Rh 2.56-2.74
Rh 0.4423 0.9946 0.8022  9 Rh 2.56-2.74
Rh 0.5577 0.0054 0.1978  9 Rh 2.56-2.74
Rh 0.5577 0.4946 0.1978  9 Rh 2.56-2.74
Rh 0.5591 0.7500 0.4243  5 Rh 2.62-2.88, 1 Ce 2.93
Rh 0.6123 0.2500 0.9803  7 Rh 2.63-2.88, 2 Ce 2.92
Rh 0.6630 0.7500 0.6642  8 Rh 2.63-2.74
Rh 0.6861 0.2500 0.7269  8 Rh 2.59-2.70
Rh 0.8139 0.7500 0.2269  8 Rh 2.59-2.70
Rh 0.8370 0.2500 0.1642  8 Rh 2.63-2.74
Rh 0.8877 0.7500 0.4803  7 Rh 2.63-2.88, 2 Ce 2.92
Rh 0.9409 0.2500 0.9243  5 Rh 2.62-2.88, 1 Ce 2.93
Rh 0.9423 0.5054 0.6978  9 Rh 2.56-2.74
Rh 0.9423 0.9946 0.6978  9 Rh 2.56-2.74

## Properties
offset from the most stable computed form = 0.0000 eV per atom
crystal system = orthorhombic
energy relative to the elements = -254 meV/atom
total magnetic moment = 0.0 μB per formula unit

2.
The following is a PBE-GGA calculation of a geometry-optimized CeRuRh structure, from Alexandria via LeMat-Bulk.

Cell: 3.7551 3.7587 8.8438 Å, 81.17 81.40 89.57°
With the nearest neighbours (Å) after each atom.
Positions (direct):
Ce 0.0000 0.0000 0.0000  1 Ru 2.42, 1 Rh 2.47
Ce 0.1577 0.1613 0.4988  1 Ru 2.42, 1 Rh 2.46
Ru 0.3747 0.3407 0.2257  1 Ce 2.42, 3 Ru 2.50-2.69
Ru 0.8192 0.7857 0.2733  1 Ce 2.42, 3 Ru 2.50-2.69
Rh 0.1422 0.5046 0.7855  1 Ce 2.47, 3 Rh 2.68-2.72
Rh 0.6565 0.0202 0.7136  1 Ce 2.46, 3 Rh 2.68-2.72

## Properties
offset from the most stable computed form = 0.2807 eV per atom
crystal system = triclinic
energy relative to the elements = -221 meV/atom
total magnetic moment = 0.0 μB per formula unit

3.
The following is a PBE-GGA calculation of a geometry-optimized Ce6Ru5Rh structure, from Alexandria via LeMat-Bulk.

Cell: 4.6147 6.9751 8.1642 Å, 90.00 106.28 90.00°
With the nearest neighbours (Å) after each atom.
Positions (direct):
Ce 0.0000 0.2468 0.0000  6 Ru 2.88-3.10, 2 Rh 2.91
Ce 0.0000 0.7532 0.0000  6 Ru 2.88-3.10, 2 Rh 2.91
Ce 0.3333 0.2491 0.6650  2 Ru 2.58
Ce 0.3333 0.7509 0.6650  2 Ru 2.58
Ce 0.6667 0.2491 0.3350  2 Ru 2.58
Ce 0.6667 0.7509 0.3350  2 Ru 2.58
Ru 0.0689 0.5000 0.3211  2 Ce 2.58
Ru 0.2427 0.0000 0.3109  2 Ce 2.58
Ru 0.5000 0.0000 0.0000  8 Ce 2.88-3.15, 2 Ru 3.09
Ru 0.7573 0.0000 0.6891  2 Ce 2.58
Ru 0.9311 0.5000 0.6789  2 Ce 2.58
Rh 0.5000 0.5000 0.0000  8 Ce 2.91-3.15, 2 Ru 3.15

## Properties
offset from the most stable computed form = 0.0000 eV per atom
crystal system = monoclinic
energy relative to the elements = -381 meV/atom
total magnetic moment = 0.0 μB per formula unit

4.
The following is a PBE-GGA calculation of a geometry-optimized Ce3Ru2Rh structure, from Alexandria via LeMat-Bulk.

Cell: 7.8929 7.8929 6.5000 Å, 101.61 101.61 39.96°
With the nearest neighbours (Å) after each atom.
Positions (direct):
Ce 0.1324 0.8676 0.7500  2 Rh 2.63-2.77, 2 Ru 2.87
Ce 0.2306 0.4244 0.3740  1 Ru 2.57, 1 Rh 2.85
Ce 0.4244 0.2306 0.8740  1 Ru 2.57, 1 Rh 2.85
Ce 0.5756 0.7694 0.1260  1 Ru 2.57, 1 Rh 2.85
Ce 0.7694 0.5756 0.6260  1 Ru 2.57, 1 Rh 2.85
Ce 0.8676 0.1324 0.2500  2 Rh 2.63-2.77, 2 Ru 2.87
Ru 0.1075 0.2210 0.0206  2 Ce 2.57-2.87
Ru 0.2210 0.1075 0.5206  2 Ce 2.57-2.87
Ru 0.7790 0.8925 0.4794  2 Ce 2.57-2.87
Ru 0.8925 0.7790 0.9794  2 Ce 2.57-2.87
Rh 0.3806 0.6194 0.2500  4 Ce 2.63-2.85
Rh 0.6194 0.3806 0.7500  4 Ce 2.63-2.85

## Properties
crystal system = monoclinic
energy relative to the elements = -420 meV/atom
total magnetic moment = 0.0 μB per formula unit

5.
The following is a PBE-GGA calculation of a geometry-optimized Ce4Ru2Rh structure, from Alexandria via LeMat-Bulk.

Cell: 7.2728 7.2728 6.9870 Å, 118.39 118.39 33.31°
With the nearest neighbours (Å) after each atom.
Positions (direct):
Ce 0.1231 0.1231 0.3021  3 Ru 2.76-2.82, 2 Rh 2.85
Ce 0.3651 0.3651 0.2097  3 Ru 2.77-2.78, 1 Rh 2.90
Ce 0.6349 0.6349 0.7903  3 Ru 2.77-2.78, 1 Rh 2.90
Ce 0.8769 0.8769 0.6979  3 Ru 2.76-2.82, 2 Rh 2.85
Ru 0.2566 0.2566 0.7539  6 Ce 2.76-2.82, 1 Rh 2.95
Ru 0.7434 0.7434 0.2461  6 Ce 2.76-2.82, 1 Rh 2.95
Rh 0.5000 0.5000 0.0000  6 Ce 2.85-2.90, 2 Ru 2.95

## Properties
offset from the most stable computed form = 0.0732 eV per atom
crystal system = monoclinic
energy relative to the elements = -374 meV/atom
total magnetic moment = 2.2 μB per formula unit

6.
The following is a PBE-GGA calculation of a geometry-optimized Ce6RuRh5 structure, from Alexandria via LeMat-Bulk.

Cell: 6.9290 6.9290 6.9319 Å, 99.58 99.58 119.95°
With the nearest neighbours (Å) after each atom.
Positions (direct):
Ce 0.0820 0.4107 0.7468  1 Ru 2.79, 5 Rh 2.83-2.84
Ce 0.2453 0.2453 0.2504  1 Ru 2.80, 5 Rh 2.84-2.86
Ce 0.4107 0.0820 0.7468  1 Ru 2.79, 5 Rh 2.83-2.84
Ce 0.5893 0.9180 0.2532  1 Ru 2.79, 5 Rh 2.83-2.84
Ce 0.7547 0.7547 0.7496  1 Ru 2.80, 5 Rh 2.84-2.86
Ce 0.9180 0.5893 0.2532  1 Ru 2.79, 5 Rh 2.83-2.84
Ru 0.0000 0.0000 0.5000  6 Ce 2.79-2.80
Rh 0.1708 0.8292 0.0000  6 Ce 2.83-2.85
Rh 0.3342 0.6658 0.5000  6 Ce 2.83-2.84
Rh 0.5000 0.5000 0.0000  6 Ce 2.83-2.86
Rh 0.6658 0.3342 0.5000  6 Ce 2.83-2.84
Rh 0.8292 0.1708 0.0000  6 Ce 2.83-2.85

## Properties
offset from the most stable computed form = 0.0000 eV per atom
crystal system = monoclinic
energy relative to the elements = -614 meV/atom
total magnetic moment = 0.0 μB per formula unit

7.
The following is a PBE-GGA calculation of a geometry-optimized Ce2RuRh2 structure, from Alexandria via LeMat-Bulk.

Cell: 7.3381 7.3381 7.3381 Å, 133.31 69.24 131.95°
With the nearest neighbours (Å) after each atom.
Positions (direct):
Ce 0.1352 0.2063 0.3415  2 Rh 2.51-2.81, 2 Ru 2.80
Ce 0.3648 0.7063 0.0712  2 Rh 2.51-2.81, 2 Ru 2.80
Ce 0.6352 0.2937 0.9288  2 Rh 2.51-2.81, 2 Ru 2.80
Ce 0.8648 0.7937 0.6585  2 Rh 2.51-2.81, 2 Ru 2.80
Ru 0.2500 0.7500 0.5000  4 Rh 2.72, 4 Ce 2.80, 2 Ru 2.99
Ru 0.7500 0.2500 0.5000  4 Rh 2.72, 4 Ce 2.80, 2 Ru 2.99
Rh 0.1345 0.7744 0.9090  2 Ce 2.51-2.81, 2 Ru 2.72
Rh 0.3655 0.2744 0.6399  2 Ce 2.51-2.81, 2 Ru 2.72
Rh 0.6345 0.7256 0.3601  2 Ce 2.51-2.81, 2 Ru 2.72
Rh 0.8655 0.2256 0.0910  2 Ce 2.51-2.81, 2 Ru 2.72

## Properties
crystal system = orthorhombic
energy relative to the elements = -444 meV/atom
total magnetic moment = 0.0 μB per formula unit

8.
The following is a PBE-GGA calculation of a geometry-optimized Ce4RuRh2 structure, from Alexandria via LeMat-Bulk.

Cell: 7.4840 7.4840 7.4840 Å, 109.92 109.92 108.59°
With the nearest neighbours (Å) after each atom.
Positions (direct):
Ce 0.0109 0.7583 0.1389  1 Ru 2.72, 2 Rh 2.77-2.80
Ce 0.1279 0.9891 0.7473  1 Ru 2.72, 2 Rh 2.77-2.80
Ce 0.1306 0.4917 0.7527  1 Ru 2.72, 2 Rh 2.77-2.80
Ce 0.2417 0.3806 0.2527  1 Ru 2.72, 2 Rh 2.77-2.80
Ce 0.5083 0.2609 0.6389  1 Ru 2.72, 2 Rh 2.77-2.80
Ce 0.6194 0.8721 0.8611  1 Ru 2.72, 2 Rh 2.77-2.80
Ce 0.6221 0.8694 0.3611  1 Ru 2.72, 2 Rh 2.77-2.80
Ce 0.7391 0.3779 0.2473  1 Ru 2.72, 2 Rh 2.77-2.80
Ru 0.2500 0.7500 0.5000  4 Ce 2.72
Ru 0.5000 0.5000 0.0000  4 Ce 2.72
Rh 0.3750 0.0072 0.1322  4 Ce 2.77-2.80
Rh 0.7572 0.6250 0.6322  4 Ce 2.77-2.80
Rh 0.8750 0.2428 0.8678  4 Ce 2.77-2.80
Rh 0.9928 0.1250 0.3678  4 Ce 2.77-2.80

## Properties
crystal system = tetragonal
energy relative to the elements = -558 meV/atom
total magnetic moment = 1.1 μB per formula unit

9.
The following is a PBE-GGA calculation of a geometry-optimized Ce3Ru2Rh structure, from Alexandria via LeMat-Bulk.

Cell: 4.9420 14.7922 3.3923 Å, 90.00 90.00 90.00°
With the nearest neighbours (Å) after each atom.
Positions (direct):
Ce 0.2500 0.0814 0.0005  6 Ru 2.93-3.08, 2 Rh 2.98-3.06
Ce 0.2500 0.4186 0.0005  6 Ru 2.93-3.08, 2 Rh 2.98-3.06
Ce 0.2500 0.7500 0.0007  4 Ru 2.88-3.03, 4 Rh 2.96-3.04
Ce 0.7500 0.2500 0.9993  4 Ru 2.88-3.03, 4 Rh 2.96-3.04
Ce 0.7500 0.5814 0.9995  6 Ru 2.93-3.08, 2 Rh 2.98-3.06
Ce 0.7500 0.9186 0.9995  6 Ru 2.93-3.08, 2 Rh 2.98-3.06
Ru 0.2500 0.5865 0.5368  8 Ce 2.88-3.08
Ru 0.2500 0.9135 0.5368  8 Ce 2.88-3.08
Ru 0.7500 0.0865 0.4632  8 Ce 2.88-3.08
Ru 0.7500 0.4135 0.4632  8 Ce 2.88-3.08
Rh 0.2500 0.2500 0.5211  8 Ce 2.96-3.06
Rh 0.7500 0.7500 0.4789  8 Ce 2.96-3.06

## Properties
crystal system = orthorhombic
energy relative to the elements = -423 meV/atom
total magnetic moment = 0.1 μB per formula unit

10.
The following is a PBE-GGA calculation of a geometry-optimized Ce6RuRh2 structure, from Alexandria via LeMat-Bulk.

Cell: 5.6417 5.6417 9.0765 Å, 119.46 119.46 53.07°
With the nearest neighbours (Å) after each atom.
Positions (direct):
Ce 0.0059 0.0059 0.3305  1 Ru 2.97, 3 Rh 2.99-3.05, 5 Ce 3.10-3.22
Ce 0.3254 0.3254 0.3322  3 Rh 2.99-3.02, 1 Ru 3.00, 5 Ce 3.10-3.22
Ce 0.3391 0.3391 0.9997  2 Rh 2.96-2.99, 2 Ru 3.00, 5 Ce 3.10-3.25
Ce 0.6609 0.6609 0.0003  2 Rh 2.96-2.99, 2 Ru 3.00, 5 Ce 3.10-3.25
Ce 0.6746 0.6746 0.6678  3 Rh 2.99-3.02, 1 Ru 3.00, 5 Ce 3.10-3.22
Ce 0.9941 0.9941 0.6695  1 Ru 2.97, 3 Rh 2.99-3.05, 5 Ce 3.10-3.22
Ru 0.0000 0.0000 0.0000  8 Ce 2.97-3.00
Rh 0.3357 0.3357 0.6710  8 Ce 2.96-3.05
Rh 0.6643 0.6643 0.3290  8 Ce 2.96-3.05

## Properties
crystal system = monoclinic
energy relative to the elements = -407 meV/atom
total magnetic moment = 0.0 μB per formula unit